Material: Br4F
Method: DFT, PBE-GGA
State: relaxed

abc: 5.045 5.045 5.045
angles: 90.00 90.00 90.00
Fractional coordinates of all 5 atoms:
Br 0.000 0.000 0.000
Br 0.000 0.500 0.500
Br 0.500 0.000 0.500
Br 0.500 0.500 0.000
F 0.500 0.500 0.500

Output
* electronic total energy: -1.158 eV/atom

=====

Material: BrF2
Method: DFT, PBE-GGA
State: relaxed

abc: 4.726 5.104 5.592
angles: 87.65 77.04 80.55
Fractional coordinates of all 6 atoms:
Br 0.000 0.000 0.000
Br 0.470 0.706 0.704
F 0.223 0.991 0.228
F 0.235 0.470 0.654
F 0.704 0.219 0.203
F 0.734 0.002 0.751

Output
* electronic total energy: -2.576 eV/atom